# 1
Entry from the Alexandria database: crystalline HoCo2H8 at its relaxed geometry (PBE).

Results
- calculated total energy (eV per atom) = -4.257
- crystal system = tetragonal

a b c (Å): 4.0455 4.0455 4.6912
angles (deg): 90.00 90.00 90.00
Space group P4/mmm (No. 123)
Symmetry-distinct sites (fractional):
Ho: 0.0000 0.0000 0.0000 x1
Co: 0.0000 0.5000 0.5000 x2
H: 0.2829 0.2829 0.3145 x8



# 2
Entry from the Alexandria database: crystalline NaSiF4 at its relaxed geometry (PBE).

Results
- crystal system = monoclinic
- uncorrected formation energy (eV/atom) = -2.70

a b c (Å): 7.1382 11.8912 4.5053
angles (deg): 90.00 125.62 90.00
Space group C2/c (No. 15)
Symmetry-distinct sites (fractional):
Na: 0.0000 0.1418 0.2500 x4
Si: 0.0000 0.4081 0.7500 x4
F: 0.0980 0.3157 0.5927 x8
F: 0.2257 0.0772 0.8579 x8



# 3
Entry from the Alexandria database: crystalline LiGe2BiAu at its relaxed geometry (PBE).

Results
- crystal system = tetragonal
- ΔH_f (0 K) (eV per atom) = 0.738

a b c (Å): 5.6251 5.6251 5.4156
angles (deg): 90.00 90.00 90.00
Space group P4/mmm (No. 123)
Symmetry-distinct sites (fractional):
Li: 0.0000 0.0000 0.0000 x1
Ge: 0.0000 0.5000 0.5000 x2
Bi: 0.5000 0.5000 0.5000 x1
Au: 0.5000 0.5000 0.0000 x1



# 4
Entry from the Alexandria database: crystalline La2InHAu at its relaxed geometry (PBE).

Results
- energy relative to the lowest polymorph listed for this composition (eV/atom) = 0.000
- crystal system = tetragonal

a b c (Å): 5.0836 5.0836 4.4455
angles (deg): 90.00 90.00 90.00
Space group P4/mmm (No. 123)
Symmetry-distinct sites (fractional):
La: 0.0000 0.5000 0.0000 x2
In: 0.0000 0.0000 0.5000 x1
H: 0.5000 0.5000 0.0000 x1
Au: 0.5000 0.5000 0.5000 x1



# 5
Entry from the Alexandria database: crystalline KLiAc2 at its relaxed geometry (PBE).

Results
- crystal system = trigonal
- ΔH_f (0 K) (eV per atom) = 0.255

a b c (Å): 3.8818 3.8818 40.0449
angles (deg): 90.00 90.00 120.00
Space group R-3m (No. 166, hexagonal axes)
Symmetry-distinct sites (fractional):
K: 0.0000 0.0000 0.0000 x3
Li: 0.0000 0.0000 0.5000 x3
Ac: 0.0000 0.0000 0.0984 x6



# 6
Entry from the Alexandria database: crystalline Ac3Ga3Rh at its relaxed geometry (PBE).

Results
- energy relative to the lowest polymorph listed for this composition (eV/atom) = 0.000
- crystal system = monoclinic
- ΔH_f (0 K) (eV per atom) = -0.589

a b c (Å): 11.7265 4.5310 15.2543
angles (deg): 90.00 107.87 90.00
Space group C2/m (No. 12)
Symmetry-distinct sites (fractional):
Ac: 0.0184 0.0000 0.3850 x4
Ac: 0.1163 0.0000 0.9208 x4
Ac: 0.2354 0.0000 0.2376 x4
Ga: 0.0322 0.5000 0.2330 x4
Ga: 0.0945 0.5000 0.0748 x4
Ga: 0.1767 0.5000 0.5361 x4
Rh: 0.2359 0.5000 0.3841 x4



# 7
Entry from the Alexandria database: crystalline Pa2AsP at its relaxed geometry (PBE).

Results
- energy relative to the lowest polymorph listed for this composition (eV/atom) = 0.099
- crystal system = trigonal
- ΔH_f (0 K) (eV per atom) = -1.099

a b c (Å): 3.8906 3.8906 7.0255
angles (deg): 90.00 90.00 120.00
Space group P-3m1 (No. 164)
Symmetry-distinct sites (fractional):
Pa: 0.3333 0.6667 0.2394 x2
As: 0.0000 0.0000 0.5000 x1
P: 0.0000 0.0000 0.0000 x1



# 8
Entry from the Alexandria database: crystalline Rb2Er2USe6 at its relaxed geometry (PBE).

Results
- crystal system = monoclinic
- uncorrected formation energy (eV/atom) = -1.59

a b c (Å): 7.2039 12.4718 8.5474
angles (deg): 90.00 106.49 90.00
Space group C2/m (No. 12)
Symmetry-distinct sites (fractional):
Rb: 0.0000 0.1677 0.0000 x4
Er: 0.0000 0.3332 0.5000 x4
U: 0.0000 0.0000 0.5000 x2
Se: 0.2300 0.1659 0.6905 x8
Se: 0.2322 0.5000 0.6900 x4



# 9
Entry from the Alexandria database: crystalline Sr2CuPdO6 at its relaxed geometry (PBE).

Results
- crystal system = trigonal
- uncorrected formation energy (eV/atom) = -1.32

a b c (Å): 5.5907 5.5907 28.6790
angles (deg): 90.00 90.00 120.00
Space group R-3m (No. 166, hexagonal axes)
Symmetry-distinct sites (fractional):
Sr: 0.0000 0.0000 0.1237 x6
Sr: 0.0000 0.0000 0.2891 x6
Cu: 0.0000 0.0000 0.0000 x3
Cu: 0.0000 0.0000 0.5000 x3
Pd: 0.0000 0.0000 0.4102 x6
O: 0.0165 0.5082 0.1250 x18
O: 0.0180 0.5090 0.7095 x18



# 10
Entry from the Alexandria database: crystalline CdAgO at its relaxed geometry (PBE).

Results
- energy relative to the lowest polymorph listed for this composition (eV/atom) = 0.134
- crystal system = trigonal
- uncorrected formation energy (eV/atom) = -0.39

a b c (Å): 3.2744 3.2744 5.1329
angles (deg): 90.00 90.00 120.00
Space group P3m1 (No. 156)
Symmetry-distinct sites (fractional):
Cd: 0.0000 0.0000 0.0000 x1
Ag: 0.3333 0.6667 0.4363 x1
O: 0.6667 0.3333 0.7548 x1



# 11
Entry from the Alexandria database: crystalline Ba2Na2Bi4Pt at its relaxed geometry (PBE).

Results
- crystal system = tetragonal
- ΔH_f (0 K) (eV per atom) = -0.548

a b c (Å): 7.5397 7.5397 10.3557
angles (deg): 90.00 90.00 90.00
Space group I4/mmm (No. 139)
Symmetry-distinct sites (fractional):
Ba: 0.0000 0.5000 0.2500 x4
Na: 0.0000 0.0000 0.2209 x4
Bi: 0.2385 0.2385 0.0000 x8
Pt: 0.0000 0.0000 0.5000 x2



# 12
Entry from the Alexandria database: crystalline SrYAl at its relaxed geometry (PBE).

Results
- energy relative to the lowest polymorph listed for this composition (eV/atom) = 0.029
- crystal system = tetragonal
- ΔH_f (0 K) (eV per atom) = -0.183

a b c (Å): 3.7434 3.7434 13.7459
angles (deg): 90.00 90.00 90.00
Space group P4mm (No. 99)
Symmetry-distinct sites (fractional):
Sr: 0.0000 0.0000 0.0000 x1
Sr: 0.5000 0.5000 0.2565 x1
Y: 0.5000 0.5000 0.5303 x1
Y: 0.5000 0.5000 0.7821 x1
Al: 0.0000 0.0000 0.4134 x1
Al: 0.0000 0.0000 0.6570 x1